Here is crystalline Tb5HoSc3 at its relaxed geometry from Alexandria. Energies are from PBE-GGA.

Computed properties:
Theoretical density ... 6.071 Mg/m³
E_tot ... -4.718 eV per atom
ΔH_f (0 K) ... 0.47 eV/atom

Cell lengths 9.183, 9.183, 9.522 Å; angles 120.29, 120.29, 75.02 degrees
Fractional coordinates of all 18 atoms:
Tb (0.109, 0.615, 0.260)
Tb (0.224, 0.224, 0.236)
Tb (0.245, 0.755, 0.000)
Tb (0.281, 0.281, 0.965)
Tb (0.385, 0.891, 0.740)
Tb (0.615, 0.109, 0.260)
Tb (0.719, 0.719, 0.035)
Tb (0.755, 0.245, 0.000)
Tb (0.776, 0.776, 0.764)
Tb (0.891, 0.385, 0.740)
Ho (0.246, 0.246, 0.595)
Ho (0.754, 0.754, 0.405)
Sc (0.000, 0.000, 0.500)
Sc (0.011, 0.011, 0.822)
Sc (0.481, 0.481, 0.638)
Sc (0.500, 0.500, 0.000)
Sc (0.519, 0.519, 0.362)
Sc (0.989, 0.989, 0.178)